Record 1
DFT (PBE) results for an optimized crystal structure of MnPCl2.

POSCAR file:
```
MnPCl2
1.0
3.3882 -1.7142 0.0000
3.3882 1.7142 0.0000
-0.5453 0.0000 8.2809
Mn P Cl
1 1 2
Direct
0.0000 0.0000 0.0000
0.3100 0.3100 0.8686
0.2867 0.2867 0.6225
0.5583 0.5583 0.1972
```

Properties
Total magnetization in Bohr magnetons per cell: 3.6
Raw formation energy in eV per atom: -0.54
Energy above the most stable polymorph in this dataset in meV/atom: 0.0
SG: Cm (8)

---

Record 2
DFT (PBE) results for an optimized crystal structure of MnPCl2.

POSCAR file:
```
MnPCl2
1.0
-1.6956 1.7446 7.6596
1.6956 -1.7446 7.6596
1.6956 1.7446 -7.6596
Mn P Cl
1 1 2
Direct
0.0000 0.0000 0.0000
0.5000 0.5000 0.0000
0.3612 0.8612 0.5000
0.6388 0.1388 0.5000
```

Properties
Total magnetization in Bohr magnetons per cell: 3.4
Raw formation energy in eV per atom: -0.12
Energy above the most stable polymorph in this dataset in meV/atom: 423.3
SG: Immm (71)

---

Record 3
DFT (PBE) results for an optimized crystal structure of MnPCl2.

POSCAR file:
```
MnPCl2
1.0
1.6557 0.9559 8.3106
-1.6557 0.9559 8.3106
0.0000 -1.9119 8.3106
Mn P Cl
1 1 2
Direct
0.0000 0.0000 0.0000
0.2820 0.2820 0.2820
0.5388 0.5388 0.5388
0.7280 0.7280 0.7280
```

Properties
Total magnetization in Bohr magnetons per cell: 2.1
Raw formation energy in eV per atom: -0.28
Energy above the most stable polymorph in this dataset in meV/atom: 262.5
SG: R3m (160)

---

Record 4
DFT (PBE) results for an optimized crystal structure of MnPCl2.

POSCAR file:
```
MnPCl2
1.0
0.0000 3.3021 4.0302
3.0145 0.0000 4.0302
3.0145 3.3021 0.0000
Mn P Cl
1 1 2
Direct
0.0000 0.0000 0.0000
0.5000 0.5000 0.5000
0.0000 0.5000 0.5000
0.5000 0.0000 0.0000
```

Properties
Total magnetization in Bohr magnetons per cell: 4.7
Raw formation energy in eV per atom: 0.12
Energy above the most stable polymorph in this dataset in meV/atom: 662.6
SG: Fmmm (69)

---

Record 5
DFT (PBE) results for an optimized crystal structure of MnP2Cl.

POSCAR file:
```
MnP2Cl
1.0
-1.6459 1.7274 7.7458
1.6459 -1.7274 7.7458
1.6459 1.7274 -7.7458
Mn P Cl
1 2 1
Direct
0.0000 0.0000 0.0000
0.3306 0.8306 0.5000
0.4251 0.4251 0.0000
0.6084 0.1084 0.5000
```

Properties
Total magnetization in Bohr magnetons per cell: 4.6
Raw formation energy in eV per atom: -0.16
Energy above the most stable polymorph in this dataset in meV/atom: 105.1
SG: Imm2 (44)

---

Record 6
DFT (PBE) results for an optimized crystal structure of MnP2Cl.

POSCAR file:
```
MnP2Cl
1.0
4.8082 0.0000 0.0000
0.0000 4.8082 0.0000
0.0000 0.0000 2.7743
Mn P Cl
1 2 1
Direct
0.0000 0.0000 0.0000
0.0000 0.5000 0.5000
0.5000 0.0000 0.5000
0.5000 0.5000 0.0000
```

Properties
Total magnetization in Bohr magnetons per cell: 4.1
Raw formation energy in eV per atom: 0.63
Energy above the most stable polymorph in this dataset in meV/atom: 894.3
SG: P4/mmm (123)

---

Record 7
DFT (PBE) results for an optimized crystal structure of MnPCl3.

POSCAR file:
```
MnPCl3
1.0
4.9441 0.0000 0.0000
0.0000 4.9441 0.0000
0.0000 0.0000 4.9441
Mn P Cl
1 1 3
Direct
0.0000 0.0000 0.0000
0.5000 0.5000 0.5000
0.0000 0.5000 0.5000
0.5000 0.0000 0.5000
0.5000 0.5000 0.0000
```

Properties
Total magnetization in Bohr magnetons per cell: 5.6
Raw formation energy in eV per atom: 0.20
Energy above the most stable polymorph in this dataset in meV/atom: 0.0
SG: Pm-3m (221)

---

Record 8
DFT (PBE) results for an optimized crystal structure of MnP2Cl.

POSCAR file:
```
MnP2Cl
1.0
3.9637 -1.5805 0.0000
3.9637 1.5805 0.0000
-2.0197 0.0000 7.0584
Mn P Cl
1 2 1
Direct
0.0000 0.0000 0.0000
0.2740 0.2740 0.9268
0.4322 0.4322 0.7409
0.6190 0.6190 0.2424
```

Properties
Total magnetization in Bohr magnetons per cell: 2.0
Raw formation energy in eV per atom: -0.27
Energy above the most stable polymorph in this dataset in meV/atom: 0.0
SG: Cm (8)

---

Record 9
DFT (PBE) results for an optimized crystal structure of MnP3Cl.

POSCAR file:
```
MnP3Cl
1.0
4.4040 0.0000 0.0000
0.0000 4.4040 0.0000
0.0000 0.0000 4.4040
Mn P Cl
1 3 1
Direct
0.0000 0.0000 0.0000
0.0000 0.0000 0.5000
0.0000 0.5000 0.0000
0.5000 0.0000 0.0000
0.5000 0.5000 0.5000
```

Properties
Total magnetization in Bohr magnetons per cell: 0.0
Raw formation energy in eV per atom: 0.40
Energy above the most stable polymorph in this dataset in meV/atom: 0.0
SG: Pm-3m (221)

---

Record 10
DFT (PBE) results for an optimized crystal structure of MnPCl2.

POSCAR file:
```
MnPCl2
1.0
1.7175 0.9916 11.6482
-1.7175 0.9916 11.6482
0.0000 -1.9832 11.6482
Mn P Cl
1 1 2
Direct
0.0000 0.0000 0.0000
0.5000 0.5000 0.5000
0.3769 0.3769 0.3769
0.6231 0.6231 0.6231
```

Properties
Total magnetization in Bohr magnetons per cell: 6.1
Raw formation energy in eV per atom: -0.05
Energy above the most stable polymorph in this dataset in meV/atom: 492.5
SG: R-3m (166)

---

Record 11
DFT (PBE) results for an optimized crystal structure of Mn2PCl.

POSCAR file:
```
Mn2PCl
1.0
2.1409 -2.1450 0.0000
2.1409 2.1450 0.0000
0.0000 0.0000 6.4895
Mn P Cl
2 1 1
Direct
0.0000 0.0000 0.1991
0.0000 0.0000 0.8009
0.5000 0.5000 0.0000
0.5000 0.5000 0.5000
```

Properties
Total magnetization in Bohr magnetons per cell: 6.2
Raw formation energy in eV per atom: -0.04
Energy above the most stable polymorph in this dataset in meV/atom: 357.8
SG: Cmmm (65)

---

Record 12
DFT (PBE) results for an optimized crystal structure of MnPCl2.

POSCAR file:
```
MnPCl2
1.0
0.0000 3.3044 3.3044
3.3044 0.0000 3.3044
3.3044 3.3044 0.0000
Mn P Cl
1 1 2
Direct
0.0000 0.0000 0.0000
0.7500 0.7500 0.7500
0.2500 0.2500 0.2500
0.5000 0.5000 0.5000
```

Properties
Total magnetization in Bohr magnetons per cell: 2.2
Raw formation energy in eV per atom: 0.45
Energy above the most stable polymorph in this dataset in meV/atom: 985.0
SG: F-43m (216)